Entry 1:
Below is a relaxed structure of Na2Bi2Pd, with properties calculated at the GGA-PBE level.

```
data_Na2Bi2Pd
_cell_length_a 6.662
_cell_length_b 14.090
_cell_length_c 5.885
_cell_angle_alpha 90.00
_cell_angle_beta 90.00
_cell_angle_gamma 90.00
_symmetry_space_group_name_H-M 'C m c m'
_symmetry_Int_Tables_number 63
_symmetry_space_group_name_Hall '-C 2c 2'
loop_
_atom_site_label
_atom_site_fract_x
_atom_site_fract_y
_atom_site_fract_z
Na1 0.000 0.090 0.250
Na2 0.000 0.317 0.750
Bi1 0.241 0.377 0.250
Pd1 0.000 0.500 0.000
```

=====

Entry 2:
Below is a relaxed structure of PuAlH6, with properties calculated at the GGA-PBE level.

```
data_PuAlH6
_cell_length_a 6.1528
_cell_length_b 6.1528
_cell_length_c 5.9839
_cell_angle_alpha 90.00
_cell_angle_beta 90.00
_cell_angle_gamma 120.00
_symmetry_space_group_name_H-M 'R -3 m'
_symmetry_Int_Tables_number 166
_symmetry_space_group_name_Hall '-R 3 2"'
loop_
_atom_site_label
_atom_site_fract_x
_atom_site_fract_y
_atom_site_fract_z
Pu1 0.0000 0.0000 0.0000
Al1 0.0000 0.0000 0.5000
H1 0.0889 0.5445 0.3544
```

=====

| no. | final energy (eV per cell) |
| --- | --- |
| 1 | -70.0 |
| 2 | -119.8 |